Tb2Pm6Nd3Dy: relaxed, PBE.

Output
As for the crystal system: monoclinic. For the density of states at the Fermi level, the calculation gives 16.90 states/eV/f.u. The value obtained for the formation energy is 14 meV/atom. The value obtained for the magnetization is 0.00 Bohr magnetons per cell.

Lattice parameters (Å, degrees): 6.3003 10.9126 12.0400 90.00 100.06 90.00
Last column: nearest neighbours and their distance in Å.
Space group C2/m (No. 12)
One atom of each set of equivalent atoms:
Tb1 0.0000 0.1666 0.0000 x4  6 Pm 3.60, 3 Tb 3.64, 3 Dy 3.64
Pm1 0.2492 0.0000 0.2465 x4  1 Dy 3.60, 2 Tb 3.60, 6 Pm 3.64, 3 Nd 3.67
Pm2 0.2490 0.3334 0.2464 x8  1 Dy 3.60, 2 Tb 3.60, 6 Pm 3.64, 3 Nd 3.67
Nd1 0.0000 0.0000 0.5000 x2  6 Nd 3.64, 6 Pm 3.67
Nd2 0.0000 0.3333 0.5000 x4  6 Nd 3.64, 6 Pm 3.67
Dy1 0.0000 0.5000 0.0000 x2  6 Pm 3.60, 6 Tb 3.64



Tb2PmNd6Dy3: relaxed, PBE.

Output
As for the crystal system: monoclinic. For the density of states at the Fermi level, the calculation gives 14.73 states/eV/f.u. The value obtained for the formation energy is 12 meV/atom. The value obtained for the magnetization is 0.00 Bohr magnetons per cell.

Lattice parameters (Å, degrees): 6.2922 10.8966 11.9342 90.00 100.10 90.00
Last column: nearest neighbours and their distance in Å.
Space group C2/m (No. 12)
One atom of each set of equivalent atoms:
Tb1 0.0000 0.1666 0.0000 x4  6 Nd 3.62, 3 Tb 3.63, 3 Pm 3.63
Pm1 0.0000 0.5000 0.0000 x2  6 Nd 3.62-3.63, 6 Tb 3.63
Nd1 0.2490 0.1669 0.7486 x8  3 Dy 3.59-3.60, 2 Tb 3.62, 1 Pm 3.63, 6 Nd 3.63-3.64
Nd2 0.2504 0.0000 0.2513 x4  3 Dy 3.60, 2 Tb 3.62, 1 Pm 3.62, 6 Nd 3.63-3.64
Dy1 0.0000 0.0000 0.5000 x2  6 Nd 3.60, 6 Dy 3.63
Dy2 0.0000 0.3332 0.5000 x4  6 Nd 3.59-3.60, 6 Dy 3.63



Tb2PmNd5Dy: relaxed, PBE.

Output
As for the crystal system: orthorhombic. For the density of states at the Fermi level, the calculation gives 14.01 states/eV/f.u. The value obtained for the formation energy is 141 meV/atom. The value obtained for the magnetization is 0.00 Bohr magnetons per cell.

Lattice parameters (Å, degrees): 5.6919 20.4819 10.7510 90.00 90.00 90.00
Last column: nearest neighbours and their distance in Å.
Space group Cmc2_1 (No. 36)
One atom of each set of equivalent atoms:
Tb1 0.0000 0.1112 0.0000 x4  1 Pm 3.46, 7 Nd 3.49-3.81, 2 Dy 3.74
Tb2 0.0000 0.1164 0.5803 x4  8 Nd 3.37-3.62, 1 Pm 3.73
Pm1 0.0000 0.2008 0.2726 x4  2 Tb 3.46-3.73, 7 Nd 3.53-3.83, 2 Dy 3.68
Nd1 0.0000 0.0162 0.2845 x4  2 Dy 3.29, 3 Tb 3.49-3.62
Nd2 0.0000 0.2807 0.5729 x4  1 Dy 3.09, 1 Tb 3.37, 2 Nd 3.45
Nd3 0.0000 0.2966 0.9670 x4  3 Nd 3.45-3.78, 1 Dy 3.51, 3 Pm 3.53-3.83, 3 Tb 3.57-3.81
Nd4 0.0000 0.3904 0.2879 x4  6 Nd 3.54-3.95, 4 Tb 3.62-3.65, 1 Pm 3.89
Nd5 0.0000 0.4800 0.0060 x4  2 Dy 3.23-3.38, 2 Nd 3.54, 2 Tb 3.55
Dy1 0.0000 0.4099 0.7215 x4  5 Nd 3.09-3.38